# 1
CdIn12Ga3 | GGA-PBE | optimized geometry

a b c (Å): 4.5539 4.5539 19.5535
angles (deg): 90.00 90.00 90.00
Atoms (fractional coordinates):
Ga: 0.0000 0.0000 0.2553
Ga: 0.0000 0.0000 0.7447
Ga: 0.0000 0.0000 0.5000
In: 0.0000 0.5000 0.8733
In: 0.5000 0.5000 0.0000
In: 0.5000 0.0000 0.8733
In: 0.5000 0.5000 0.7476
In: 0.5000 0.5000 0.5000
In: 0.0000 0.5000 0.6230
In: 0.5000 0.0000 0.3770
In: 0.5000 0.0000 0.6230
In: 0.0000 0.5000 0.1267
Cd: 0.0000 0.0000 0.0000
In: 0.0000 0.5000 0.3770
In: 0.5000 0.5000 0.2524
In: 0.5000 0.0000 0.1267

Summary:
VASP energy = -2.6384 eV per atom
Calculated volume = 406 Å³/cell
Total magnetic moment = 0.000 μB/atom



# 2
Cd2In9Ga | GGA-PBE | optimized geometry

a b c (Å): 6.5406 6.5406 10.2273
angles (deg): 71.35 71.35 60.00
Atoms (fractional coordinates):
Cd: 0.8927 0.8927 0.3220
In: 0.4028 0.9292 0.2652
In: 0.5000 0.5000 0.5000
In: 0.5972 0.0708 0.7348
In: 0.3372 0.3372 0.9884
In: 0.5972 0.5972 0.7348
In: 0.9292 0.4028 0.2652
In: 0.6628 0.6628 0.0116
Cd: 0.1073 0.1073 0.6780
Ga: 0.0000 0.0000 0.0000
In: 0.4028 0.4028 0.2652
In: 0.0708 0.5972 0.7348

Summary:
VASP energy = -2.2863 eV per atom
Calculated volume = 352 Å³/cell
Total magnetic moment = 0.000 μB/atom



# 3
Cd2In2Ga15 | GGA-PBE | optimized geometry

a b c (Å): 7.6907 7.6907 7.6907
angles (deg): 71.35 71.35 71.35
Atoms (fractional coordinates):
Cd: 0.1020 0.1020 0.1020
Ga: 0.5925 0.1718 0.5925
Ga: 0.4075 0.8282 0.4075
Ga: 0.2994 0.0000 0.7006
Ga: 0.0000 0.0000 0.5000
Ga: 0.5000 0.0000 0.0000
Ga: 0.1718 0.5925 0.5925
Ga: 0.0000 0.7006 0.2994
In: 0.6972 0.6972 0.6972
Ga: 0.8282 0.4075 0.4075
Cd: 0.8980 0.8980 0.8980
Ga: 0.0000 0.2994 0.7006
Ga: 0.0000 0.5000 0.0000
Ga: 0.7006 0.0000 0.2994
Ga: 0.2994 0.7006 0.0000
Ga: 0.5925 0.5925 0.1718
In: 0.3028 0.3028 0.3028
Ga: 0.4075 0.4075 0.8282
Ga: 0.7006 0.2994 0.0000

Summary:
VASP energy = -2.7218 eV per atom
Calculated volume = 396 Å³/cell
Total magnetic moment = 0.000 μB/atom



# 4
Cd3In2Ga6 | GGA-PBE | optimized geometry

a b c (Å): 4.1012 8.4159 8.4159
angles (deg): 120.00 90.00 90.00
Atoms (fractional coordinates):
In: 0.0000 0.6667 0.3333
Cd: 0.5000 0.5761 0.0000
Cd: 0.5000 0.4239 0.4239
Cd: 0.5000 0.0000 0.5761
Ga: 0.0000 0.1888 0.1888
Ga: 0.0000 0.0000 0.8112
Ga: 0.5000 0.7453 0.7453
Ga: 0.5000 0.0000 0.2547
Ga: 0.0000 0.8112 0.0000
In: 0.0000 0.3333 0.6667
Ga: 0.5000 0.2547 0.0000

Summary:
VASP energy = -2.3408 eV per atom
Calculated volume = 252 Å³/cell
Total magnetic moment = 0.000 μB/atom



# 5
Cd4InGa4 | GGA-PBE | optimized geometry

a b c (Å): 4.4565 6.9783 6.9783
angles (deg): 84.15 71.38 71.38
Atoms (fractional coordinates):
Cd: 0.8295 0.4997 0.3414
Cd: 0.8291 0.8414 0.0003
Ga: 0.8429 0.1568 0.6574
Ga: 0.1571 0.8432 0.3426
Cd: 0.1705 0.5003 0.6586
Ga: 0.5003 0.8426 0.6568
Ga: 0.4997 0.1574 0.3432
In: 0.5000 0.5000 0.0000
Cd: 0.1709 0.1586 0.9997

Summary:
VASP energy = -2.0060 eV per atom
Calculated volume = 195 Å³/cell
Total magnetic moment = 0.000 μB/atom



# 6
CdIn3Ga | GGA-PBE | optimized geometry

a b c (Å): 5.3926 5.3926 5.3926
angles (deg): 90.00 90.00 90.00
Atoms (fractional coordinates):
In: 0.0000 0.0000 0.5000
Cd: 0.5000 0.5000 0.5000
Ga: 0.0000 0.0000 0.0000
In: 0.5000 0.0000 0.0000
In: 0.0000 0.5000 0.0000

Summary:
Excess energy over the best structure of this formula in the dataset = 221 meV/atom
VASP energy = -2.1609 eV per atom
Calculated volume = 157 Å³/cell
Total magnetic moment = 0.000 μB/atom



# 7
Cd3InGa | GGA-PBE | optimized geometry

a b c (Å): 5.4965 5.4965 5.4965
angles (deg): 90.00 90.00 90.00
Atoms (fractional coordinates):
Ga: 0.5000 0.5000 0.5000
In: 0.0000 0.0000 0.0000
Cd: 0.0000 0.5000 0.0000
Cd: 0.0000 0.0000 0.5000
Cd: 0.5000 0.0000 0.0000

Summary:
Excess energy over the best structure of this formula in the dataset = 410 meV/atom
VASP energy = -1.2604 eV per atom
Calculated volume = 166 Å³/cell
Total magnetic moment = 0.000 μB/atom



# 8
CdInGa4 | GGA-PBE | optimized geometry

a b c (Å): 5.6977 5.6977 5.6977
angles (deg): 60.00 60.00 60.00
Atoms (fractional coordinates):
Ga: 0.6254 0.6254 0.1237
Ga: 0.6254 0.6254 0.6254
Ga: 0.1237 0.6254 0.6254
Cd: 0.0000 0.0000 0.0000
In: 0.2500 0.2500 0.2500
Ga: 0.6254 0.1237 0.6254

Summary:
Excess energy over the best structure of this formula in the dataset = 34 meV/atom
VASP energy = -2.5448 eV per atom
Calculated volume = 131 Å³/cell
Total magnetic moment = 0.000 μB/atom



# 9
Cd2InGa | GGA-PBE | optimized geometry

a b c (Å): 5.1163 5.1163 5.1163
angles (deg): 60.00 60.00 60.00
Atoms (fractional coordinates):
In: 0.5000 0.5000 0.5000
Cd: 0.7500 0.7500 0.7500
Ga: 0.0000 0.0000 0.0000
Cd: 0.2500 0.2500 0.2500

Summary:
Excess energy over the best structure of this formula in the dataset = 46 meV/atom
VASP energy = -1.8157 eV per atom
Calculated volume = 95 Å³/cell
Total magnetic moment = 0.000 μB/atom



# 10
CdIn3Ga4 | GGA-PBE | optimized geometry

a b c (Å): 4.2544 4.3572 10.4801
angles (deg): 102.63 91.87 90.85
Atoms (fractional coordinates):
In: 0.9863 0.1443 0.2975
Ga: 0.5012 0.6008 0.2016
Cd: 0.0000 0.5000 0.0000
Ga: 0.3752 0.7215 0.4505
Ga: 0.4988 0.3992 0.7984
Ga: 0.6248 0.2785 0.5495
In: 0.0137 0.8557 0.7025
In: 0.5000 0.0000 0.0000

Summary:
VASP energy = -2.5761 eV per atom
Calculated volume = 189 Å³/cell
Total magnetic moment = 0.000 μB/atom



# 11
Cd2In2Ga | GGA-PBE | optimized geometry

a b c (Å): 8.3974 8.3974 3.6561
angles (deg): 90.00 90.00 90.00
Atoms (fractional coordinates):
Cd: 0.3430 0.1570 0.5000
Cd: 0.6570 0.8430 0.5000
Cd: 0.8430 0.3430 0.5000
In: 0.6437 0.1437 0.0000
Cd: 0.1570 0.6570 0.5000
In: 0.1437 0.3563 0.0000
Ga: 0.0000 0.0000 0.0000
In: 0.3563 0.8563 0.0000
Ga: 0.5000 0.5000 0.0000
In: 0.8563 0.6437 0.0000

Summary:
Excess energy over the best structure of this formula in the dataset = 92 meV/atom
VASP energy = -1.9301 eV per atom
Calculated volume = 258 Å³/cell
Total magnetic moment = 0.000 μB/atom



# 12
Cd6In3Ga | GGA-PBE | optimized geometry

a b c (Å): 8.0368 8.0368 8.0368
angles (deg): 81.71 81.71 81.71
Atoms (fractional coordinates):
Cd: 0.9101 0.7509 0.0852
Cd: 0.2509 0.4101 0.5852
Cd: 0.7491 0.5899 0.4148
In: 0.5562 0.9438 0.2500
Cd: 0.0852 0.9101 0.7509
In: 0.2500 0.5562 0.9438
Cd: 0.5852 0.2509 0.4101
In: 0.4438 0.0562 0.7500
In: 0.9438 0.2500 0.5562
In: 0.0562 0.7500 0.4438
Cd: 0.2491 0.9148 0.0899
Cd: 0.0899 0.2491 0.9148
Cd: 0.4148 0.7491 0.5899
Ga: 0.2500 0.2500 0.2500
Cd: 0.5899 0.4148 0.7491
Cd: 0.9148 0.0899 0.2491
In: 0.7500 0.4438 0.0562
Ga: 0.7500 0.7500 0.7500
Cd: 0.7509 0.0852 0.9101
Cd: 0.4101 0.5852 0.2509

Summary:
VASP energy = -1.5991 eV per atom
Calculated volume = 504 Å³/cell
Total magnetic moment = 0.000 μB/atom